Record 1
# PBE-GGA SmCuAgSn, relaxed
# Total magnetic moment: 0.00 μB per formula unit
# Space group: No. 216
# Calculated formation energy: -33 kJ/mol of atoms
# Crystal system: cubic
# E_tot: -4.255 eV per atom
data_SmCuAgSn
_chemical_formula_sum 'Sm1 Cu1 Ag1 Sn1'
_space_group_name_H-M_alt 'P 1'
_space_group_IT_number 1
_space_group_name_Hall 'P 1'
_cell_length_a 4.912
_cell_length_b 4.912
_cell_length_c 4.912
_cell_angle_alpha 60.00
_cell_angle_beta 60.00
_cell_angle_gamma 60.00
loop_
_atom_site_label
_atom_site_type_symbol
_atom_site_fract_x
_atom_site_fract_y
_atom_site_fract_z
Sm1 Sm 0.000 0.000 0.000
Cu1 Cu 0.250 0.250 0.250
Ag1 Ag 0.750 0.750 0.750
Sn1 Sn 0.500 0.500 0.500

***

Record 2
# PBE-GGA SrSmCuAg, relaxed
# Total magnetic moment: 0.00 μB per formula unit
# Space group: No. 216
# Calculated formation energy: -11 kJ/mol of atoms
# Crystal system: cubic
# E_tot: -3.449 eV per atom
data_SrSmCuAg
_chemical_formula_sum 'Sr1 Sm1 Cu1 Ag1'
_space_group_name_H-M_alt 'P 1'
_space_group_IT_number 1
_space_group_name_Hall 'P 1'
_cell_length_a 5.271
_cell_length_b 5.271
_cell_length_c 5.271
_cell_angle_alpha 60.00
_cell_angle_beta 60.00
_cell_angle_gamma 60.00
loop_
_atom_site_label
_atom_site_type_symbol
_atom_site_fract_x
_atom_site_fract_y
_atom_site_fract_z
Sr1 Sr 0.000 0.000 0.000
Sm1 Sm 0.500 0.500 0.500
Cu1 Cu 0.750 0.750 0.750
Ag1 Ag 0.250 0.250 0.250

***

Record 3
# PBE-GGA TbSmCuAg, relaxed
# Total magnetic moment: 0.00 μB per formula unit
# Space group: No. 99
# Calculated formation energy: -24 kJ/mol of atoms
# Energy relative to the lowest polymorph listed for this composition: 0.00 kJ per mole of atoms
# Crystal system: tetragonal
# E_tot: -4.327 eV per atom
data_TbSmCuAg
_chemical_formula_sum 'Tb1 Sm1 Cu1 Ag1'
_space_group_name_H-M_alt 'P 1'
_space_group_IT_number 1
_space_group_name_Hall 'P 1'
_cell_length_a 3.590
_cell_length_b 3.590
_cell_length_c 7.239
_cell_angle_alpha 90.00
_cell_angle_beta 90.00
_cell_angle_gamma 90.00
loop_
_atom_site_label
_atom_site_type_symbol
_atom_site_fract_x
_atom_site_fract_y
_atom_site_fract_z
Tb1 Tb 0.000 0.000 0.000
Sm1 Sm 0.000 0.000 0.527
Cu1 Cu 0.500 0.500 0.774
Ag1 Ag 0.500 0.500 0.254

***

Record 4
# PBE-GGA TbSmCuAg, relaxed
# Total magnetic moment: 0.00 μB per formula unit
# Space group: No. 216
# Calculated formation energy: -22 kJ/mol of atoms
# Energy relative to the lowest polymorph listed for this composition: 2.36 kJ per mole of atoms
# Crystal system: cubic
# E_tot: -4.303 eV per atom
data_TbSmCuAg
_chemical_formula_sum 'Tb1 Sm1 Cu1 Ag1'
_space_group_name_H-M_alt 'P 1'
_space_group_IT_number 1
_space_group_name_Hall 'P 1'
_cell_length_a 5.107
_cell_length_b 5.107
_cell_length_c 5.107
_cell_angle_alpha 60.00
_cell_angle_beta 60.00
_cell_angle_gamma 60.00
loop_
_atom_site_label
_atom_site_type_symbol
_atom_site_fract_x
_atom_site_fract_y
_atom_site_fract_z
Tb1 Tb 0.000 0.000 0.000
Sm1 Sm 0.500 0.500 0.500
Cu1 Cu 0.250 0.250 0.250
Ag1 Ag 0.750 0.750 0.750

***

Record 5
# PBE-GGA SmCuAg2Te4, relaxed
# Total magnetic moment: 0.00 μB per formula unit
# Space group: No. 63
# E_form (uncorrected): -383 meV/atom
# Crystal system: orthorhombic
# E_tot: -3.769 eV per atom
data_SmCuAg2Te4
_chemical_formula_sum 'Sm2 Cu2 Ag4 Te8'
_space_group_name_H-M_alt 'P 1'
_space_group_IT_number 1
_space_group_name_Hall 'P 1'
_cell_length_a 7.698
_cell_length_b 7.698
_cell_length_c 13.756
_cell_angle_alpha 90.00
_cell_angle_beta 90.00
_cell_angle_gamma 147.86
loop_
_atom_site_label
_atom_site_type_symbol
_atom_site_fract_x
_atom_site_fract_y
_atom_site_fract_z
Sm1 Sm 0.100 0.900 0.750
Sm2 Sm 0.900 0.100 0.250
Cu1 Cu 0.160 0.840 0.250
Cu2 Cu 0.840 0.160 0.750
Ag1 Ag 0.371 0.629 0.562
Ag2 Ag 0.371 0.629 0.938
Ag3 Ag 0.629 0.371 0.062
Ag4 Ag 0.629 0.371 0.438
Te1 Te 0.000 0.000 0.000
Te2 Te 0.000 0.000 0.500
Te3 Te 0.294 0.706 0.123
Te4 Te 0.294 0.706 0.377
Te5 Te 0.441 0.559 0.750
Te6 Te 0.559 0.441 0.250
Te7 Te 0.706 0.294 0.623
Te8 Te 0.706 0.294 0.877

***

Record 6
# PBE-GGA SmThCuAg, relaxed
# Total magnetic moment: 0.59 μB per formula unit
# Space group: No. 216
# Calculated formation energy: -8 kJ/mol of atoms
# Crystal system: cubic
# E_tot: -4.856 eV per atom
data_SmThCuAg
_chemical_formula_sum 'Sm1 Th1 Cu1 Ag1'
_space_group_name_H-M_alt 'P 1'
_space_group_IT_number 1
_space_group_name_Hall 'P 1'
_cell_length_a 5.174
_cell_length_b 5.174
_cell_length_c 5.174
_cell_angle_alpha 60.00
_cell_angle_beta 60.00
_cell_angle_gamma 60.00
loop_
_atom_site_label
_atom_site_type_symbol
_atom_site_fract_x
_atom_site_fract_y
_atom_site_fract_z
Sm1 Sm 0.000 0.000 0.000
Th1 Th 0.500 0.500 0.500
Cu1 Cu 0.250 0.250 0.250
Ag1 Ag 0.750 0.750 0.750

***

Repeat the third record exactly.
# PBE-GGA TbSmCuAg, relaxed
# Total magnetic moment: 0.00 μB per formula unit
# Space group: No. 99
# Calculated formation energy: -24 kJ/mol of atoms
# Energy relative to the lowest polymorph listed for this composition: 0.00 kJ per mole of atoms
# Crystal system: tetragonal
# E_tot: -4.327 eV per atom
data_TbSmCuAg
_chemical_formula_sum 'Tb1 Sm1 Cu1 Ag1'
_space_group_name_H-M_alt 'P 1'
_space_group_IT_number 1
_space_group_name_Hall 'P 1'
_cell_length_a 3.590
_cell_length_b 3.590
_cell_length_c 7.239
_cell_angle_alpha 90.00
_cell_angle_beta 90.00
_cell_angle_gamma 90.00
loop_
_atom_site_label
_atom_site_type_symbol
_atom_site_fract_x
_atom_site_fract_y
_atom_site_fract_z
Tb1 Tb 0.000 0.000 0.000
Sm1 Sm 0.000 0.000 0.527
Cu1 Cu 0.500 0.500 0.774
Ag1 Ag 0.500 0.500 0.254

***

What did the first record say?
# PBE-GGA SmCuAgSn, relaxed
# Total magnetic moment: 0.00 μB per formula unit
# Space group: No. 216
# Calculated formation energy: -33 kJ/mol of atoms
# Crystal system: cubic
# E_tot: -4.255 eV per atom
data_SmCuAgSn
_chemical_formula_sum 'Sm1 Cu1 Ag1 Sn1'
_space_group_name_H-M_alt 'P 1'
_space_group_IT_number 1
_space_group_name_Hall 'P 1'
_cell_length_a 4.912
_cell_length_b 4.912
_cell_length_c 4.912
_cell_angle_alpha 60.00
_cell_angle_beta 60.00
_cell_angle_gamma 60.00
loop_
_atom_site_label
_atom_site_type_symbol
_atom_site_fract_x
_atom_site_fract_y
_atom_site_fract_z
Sm1 Sm 0.000 0.000 0.000
Cu1 Cu 0.250 0.250 0.250
Ag1 Ag 0.750 0.750 0.750
Sn1 Sn 0.500 0.500 0.500